# 1
VASP calculation (SCAN) on MgPbAu2 at its PBEsol-relaxed geometry.

a b c (Å): 3.3258 3.4327 7.0596
angles (deg): 90.00 90.00 90.00
Space group Pmmm (No. 47)
Symmetry-distinct sites (fractional):
Mg: 0.0000 0.0000 0.0000
Pb: 0.0000 0.0000 0.5000
Au: 0.5000 0.5000 0.2073

Results
* formation enthalpy at 0 K: -372 meV/atom
* calculated volume: 80.6 Å³ per cell
* ρ: 12.9 g/cm3


# 2
VASP calculation (SCAN) on SbIr2WC at its PBEsol-relaxed geometry.

a b c (Å): 4.6873 4.6873 5.1142
angles (deg): 90.00 90.00 90.00
Space group P4/mmm (No. 123)
Symmetry-distinct sites (fractional):
Sb: 0.0000 0.0000 0.0000
Ir: 0.0000 0.5000 0.5000
W: 0.0000 0.0000 0.5000
C: 0.5000 0.5000 0.0000

Results
* calculated volume: 112.4 Å³ per cell
* uncorrected formation energy: 2762 meV/atom
* ρ: 10.4 g/cm3


# 3
VASP calculation (SCAN) on TlTePI2 at its PBEsol-relaxed geometry.

a b c (Å): 5.8388 5.8388 5.8803
angles (deg): 90.00 90.00 90.00
Space group P4/mmm (No. 123)
Symmetry-distinct sites (fractional):
Tl: 0.0000 0.0000 0.0000
Te: 0.0000 0.0000 0.5000
P: 0.5000 0.5000 0.5000
I: 0.0000 0.5000 0.0000

Results
* calculated volume: 200.5 Å³ per cell
* uncorrected formation energy: 779 meV/atom
* ρ: 5.1 g/cm3
* energy relative to the lowest polymorph listed for this composition: 738.3 meV per atom


# 4
VASP calculation (SCAN) on KIn2Pt at its PBEsol-relaxed geometry.

a b c (Å): 4.5964 4.5964 18.3913
angles (deg): 90.00 90.00 120.00
Space group R-3m (No. 166, hexagonal axes)
Symmetry-distinct sites (fractional):
K: 0.0000 0.0000 0.0000
In: 0.0000 0.0000 0.2030
Pt: 0.0000 0.0000 0.5000

Results
* formation enthalpy at 0 K: -433 meV/atom
* calculated volume: 336.5 Å³ per cell
* ρ: 6.9 g/cm3


# 5
VASP calculation (SCAN) on La3Ru at its PBEsol-relaxed geometry.

a b c (Å): 7.2423 9.9085 6.4191
angles (deg): 90.00 90.00 90.00
Space group Pnma (No. 62)
Symmetry-distinct sites (fractional):
La: 0.0482 0.2500 0.1501
La: 0.1699 0.0684 0.6698
Ru: 0.1210 0.7500 0.4393

Results
* formation enthalpy at 0 K: -272 meV/atom
* calculated volume: 460.6 Å³ per cell
* ρ: 7.5 g/cm3


# 6
VASP calculation (SCAN) on YRe at its PBEsol-relaxed geometry.

a b c (Å): 4.8069 4.8069 5.5641
angles (deg): 90.00 90.00 120.00
Space group P6_3/mmc (No. 194)
Symmetry-distinct sites (fractional):
Y: 0.3333 0.6667 0.2500
Re: 0.3333 0.6667 0.7500

Results
* formation enthalpy at 0 K: 2000 meV/atom
* calculated volume: 111.3 Å³ per cell
* ρ: 8.2 g/cm3


# 7
VASP calculation (SCAN) on Mn3HOs at its PBEsol-relaxed geometry.

a b c (Å): 3.6041 3.6041 3.6041
angles (deg): 90.00 90.00 90.00
Space group Pm-3m (No. 221)
Symmetry-distinct sites (fractional):
Mn: 0.0000 0.0000 0.5000
H: 0.0000 0.0000 0.0000
Os: 0.5000 0.5000 0.5000

Results
* calculated volume: 46.8 Å³ per cell
* ρ: 12.6 g/cm3
* energy relative to the lowest polymorph listed for this composition: 0.0 meV per atom


# 8
VASP calculation (SCAN) on CdBiBr3 at its PBEsol-relaxed geometry.

a b c (Å): 5.3051 5.3051 5.3051
angles (deg): 90.00 90.00 90.00
Space group Pm-3m (No. 221)
Symmetry-distinct sites (fractional):
Cd: 0.0000 0.0000 0.0000
Bi: 0.5000 0.5000 0.5000
Br: 0.0000 0.0000 0.5000

Results
* calculated volume: 149.3 Å³ per cell
* uncorrected formation energy: -204 meV/atom
* ρ: 6.2 g/cm3


# 9
VASP calculation (SCAN) on Ca2ZnAg at its PBEsol-relaxed geometry.

a b c (Å): 3.6431 3.6431 7.1700
angles (deg): 90.00 90.00 90.00
Space group P4/mmm (No. 123)
Symmetry-distinct sites (fractional):
Ca: 0.0000 0.0000 0.2470
Zn: 0.5000 0.5000 0.0000
Ag: 0.5000 0.5000 0.5000

Results
* formation enthalpy at 0 K: -288 meV/atom
* calculated volume: 95.2 Å³ per cell
* ρ: 4.4 g/cm3


# 10
VASP calculation (SCAN) on Co5Ni3 at its PBEsol-relaxed geometry.

a b c (Å): 6.8974 6.9935 3.4389
angles (deg): 90.00 90.00 90.00
Space group Cmmm (No. 65)
Symmetry-distinct sites (fractional):
Co: 0.0000 0.0000 0.0000
Co: 0.0000 0.2487 0.5000
Co: 0.2500 0.2500 0.0000
Ni: 0.0000 0.5000 0.0000
Ni: 0.2488 0.5000 0.5000

Results
* formation enthalpy at 0 K: 6 meV/atom
* calculated volume: 165.9 Å³ per cell
* ρ: 9.4 g/cm3


# 11
VASP calculation (SCAN) on Fe2IrOs at its PBEsol-relaxed geometry.

a b c (Å): 2.7489 4.2825 4.4527
angles (deg): 90.00 90.00 90.00
Space group Pmmm (No. 47)
Symmetry-distinct sites (fractional):
Fe: 0.0000 0.0000 0.0000
Fe: 0.5000 0.0000 0.5000
Ir: 0.0000 0.5000 0.5000
Os: 0.5000 0.5000 0.0000

Results
* formation enthalpy at 0 K: 92 meV/atom
* calculated volume: 52.4 Å³ per cell
* ρ: 15.7 g/cm3


# 12
VASP calculation (SCAN) on KCd2 at its PBEsol-relaxed geometry.

a b c (Å): 13.0075 3.1390 8.4926
angles (deg): 90.00 91.52 90.00
Space group Cm (No. 8)
Symmetry-distinct sites (fractional):
K: 0.0000 0.0000 0.0000
K: 0.2441 0.0000 0.7041
Cd: 0.0021 0.5000 0.6156
Cd: 0.1304 0.5000 0.3448
Cd: 0.2619 0.0000 0.1269
Cd: 0.3836 0.5000 0.3723

Results
* formation enthalpy at 0 K: -13 meV/atom
* calculated volume: 346.6 Å³ per cell
* ρ: 5.1 g/cm3


# 13
VASP calculation (SCAN) on Cd2TePb at its PBEsol-relaxed geometry.

a b c (Å): 3.8656 3.8656 7.0094
angles (deg): 90.00 90.00 90.00
Space group P4mm (No. 99)
Symmetry-distinct sites (fractional):
Cd: 0.0000 0.0000 0.0000
Cd: 0.5000 0.5000 0.2300
Te: 0.5000 0.5000 0.8053
Pb: 0.0000 0.0000 0.4671

Results
* calculated volume: 104.7 Å³ per cell
* uncorrected formation energy: -14 meV/atom
* ρ: 8.9 g/cm3
* energy relative to the lowest polymorph listed for this composition: 0.0 meV per atom


# 14
VASP calculation (SCAN) on SrZrBe2 at its PBEsol-relaxed geometry.

a b c (Å): 7.3081 7.3081 6.7534
angles (deg): 90.00 90.00 90.00
Space group I-42d (No. 122)
Symmetry-distinct sites (fractional):
Sr: 0.0000 0.0000 0.0000
Zr: 0.0000 0.0000 0.5000
Be: 0.2051 0.2500 0.6250

Results
* formation enthalpy at 0 K: 883 meV/atom
* calculated volume: 360.7 Å³ per cell
* ρ: 3.6 g/cm3
* energy relative to the lowest polymorph listed for this composition: 662.2 meV per atom


# 15
VASP calculation (SCAN) on AlRh2Pb at its PBEsol-relaxed geometry.

a b c (Å): 9.6358 3.0840 4.4682
angles (deg): 90.00 104.45 90.00
Space group Cm (No. 8)
Symmetry-distinct sites (fractional):
Al: 0.0000 0.0000 0.0000
Rh: 0.2242 0.5000 0.0888
Rh: 0.4973 0.0000 0.4758
Pb: 0.2424 0.0000 0.6025

Results
* formation enthalpy at 0 K: -348 meV/atom
* calculated volume: 128.6 Å³ per cell
* ρ: 11.4 g/cm3


# 16
VASP calculation (SCAN) on TiCuHg2S at its PBEsol-relaxed geometry.

a b c (Å): 5.1951 5.1951 4.6417
angles (deg): 90.00 90.00 90.00
Space group P4/mmm (No. 123)
Symmetry-distinct sites (fractional):
Ti: 0.0000 0.0000 0.0000
Cu: 0.0000 0.0000 0.5000
Hg: 0.0000 0.5000 0.0000
S: 0.5000 0.5000 0.5000

Results
* calculated volume: 125.3 Å³ per cell
* uncorrected formation energy: 977 meV/atom
* ρ: 7.2 g/cm3


# 17
VASP calculation (SCAN) on CdFeRhI2 at its PBEsol-relaxed geometry.

a b c (Å): 4.9663 4.9663 4.8988
angles (deg): 90.00 90.00 90.00
Space group P4/mmm (No. 123)
Symmetry-distinct sites (fractional):
Cd: 0.0000 0.0000 0.0000
Fe: 0.0000 0.0000 0.5000
Rh: 0.5000 0.5000 0.0000
I: 0.0000 0.5000 0.5000

Results
* calculated volume: 120.8 Å³ per cell
* uncorrected formation energy: 1058 meV/atom
* ρ: 7.2 g/cm3


# 18
VASP calculation (SCAN) on Al2FeRh at its PBEsol-relaxed geometry.

a b c (Å): 5.8137 5.8137 5.8137
angles (deg): 90.00 90.00 90.00
Space group Fm-3m (No. 225)
Symmetry-distinct sites (fractional):
Al: 0.2500 0.2500 0.2500
Fe: 0.0000 0.0000 0.0000
Rh: 0.0000 0.0000 0.5000

Results
* formation enthalpy at 0 K: -841 meV/atom
* calculated volume: 196.5 Å³ per cell
* ρ: 7.2 g/cm3


# 19
VASP calculation (SCAN) on TlTcAg2 at its PBEsol-relaxed geometry.

a b c (Å): 2.8034 4.3317 5.7223
angles (deg): 90.00 90.00 90.00
Space group Pmmm (No. 47)
Symmetry-distinct sites (fractional):
Tl: 0.0000 0.0000 0.0000
Tc: 0.0000 0.0000 0.5000
Ag: 0.5000 0.5000 0.2680

Results
* formation enthalpy at 0 K: 615 meV/atom
* calculated volume: 69.5 Å³ per cell
* ρ: 12.4 g/cm3
* energy relative to the lowest polymorph listed for this composition: 28.6 meV per atom


# 20
VASP calculation (SCAN) on LaAl2Pt at its PBEsol-relaxed geometry.

a b c (Å): 5.6176 9.8479 2.9061
angles (deg): 90.00 90.00 90.00
Space group Cmmm (No. 65)
Symmetry-distinct sites (fractional):
La: 0.0000 0.0000 0.0000
Al: 0.2500 0.2500 0.5000
Pt: 0.0000 0.5000 0.0000

Results
* formation enthalpy at 0 K: -190 meV/atom
* calculated volume: 160.8 Å³ per cell
* ρ: 8.0 g/cm3


# 21
VASP calculation (SCAN) on Tc2RhSe at its PBEsol-relaxed geometry.

a b c (Å): 2.8261 2.8261 24.6046
angles (deg): 90.00 90.00 120.00
Space group R-3m (No. 166, hexagonal axes)
Symmetry-distinct sites (fractional):
Tc: 0.0000 0.0000 0.2467
Rh: 0.0000 0.0000 0.0000
Se: 0.0000 0.0000 0.5000

Results
* calculated volume: 170.2 Å³ per cell
* uncorrected formation energy: 244 meV/atom
* ρ: 11.1 g/cm3


# 22
VASP calculation (SCAN) on BaMgTe2 at its PBEsol-relaxed geometry.

a b c (Å): 4.6547 4.6547 6.5916
angles (deg): 90.00 90.00 90.00
Space group P4/mmm (No. 123)
Symmetry-distinct sites (fractional):
Ba: 0.0000 0.0000 0.0000
Mg: 0.5000 0.5000 0.5000
Te: 0.0000 0.0000 0.5000
Te: 0.5000 0.5000 0.0000

Results
* calculated volume: 142.8 Å³ per cell
* uncorrected formation energy: -1194 meV/atom
* ρ: 4.8 g/cm3


# 23
VASP calculation (SCAN) on YAs2SeS at its PBEsol-relaxed geometry.

a b c (Å): 4.7066 4.7066 4.8815
angles (deg): 90.00 90.00 90.00
Space group P4/mmm (No. 123)
Symmetry-distinct sites (fractional):
Y: 0.0000 0.0000 0.0000
As: 0.0000 0.5000 0.5000
Se: 0.5000 0.5000 0.0000
S: 0.5000 0.5000 0.5000

Results
* calculated volume: 108.1 Å³ per cell
* uncorrected formation energy: -178 meV/atom
* ρ: 5.4 g/cm3


# 24
VASP calculation (SCAN) on ScAlTe2 at its PBEsol-relaxed geometry.

a b c (Å): 3.6891 3.6854 6.9323
angles (deg): 90.00 100.06 90.00
Space group P2/m (No. 10)
Symmetry-distinct sites (fractional):
Sc: 0.0000 0.0000 0.0000
Al: 0.0000 0.0000 0.5000
Te: 0.4020 0.5000 0.7589

Results
* calculated volume: 92.8 Å³ per cell
* uncorrected formation energy: -522 meV/atom
* ρ: 5.9 g/cm3


# 25
VASP calculation (SCAN) on RbTe3P at its PBEsol-relaxed geometry.

a b c (Å): 6.1016 6.1016 6.1016
angles (deg): 90.00 90.00 90.00
Space group Pm-3m (No. 221)
Symmetry-distinct sites (fractional):
Rb: 0.0000 0.0000 0.0000
Te: 0.0000 0.0000 0.5000
P: 0.5000 0.5000 0.5000

Results
* calculated volume: 227.2 Å³ per cell
* uncorrected formation energy: 1503 meV/atom
* ρ: 3.6 g/cm3
* energy relative to the lowest polymorph listed for this composition: 1605.2 meV per atom


# 26
VASP calculation (SCAN) on RbTeSe2Br at its PBEsol-relaxed geometry.

a b c (Å): 5.3655 5.3655 5.7092
angles (deg): 90.00 90.00 90.00
Space group P4/mmm (No. 123)
Symmetry-distinct sites (fractional):
Rb: 0.0000 0.0000 0.0000
Te: 0.5000 0.5000 0.5000
Se: 0.0000 0.5000 0.5000
Br: 0.5000 0.5000 0.0000

Results
* calculated volume: 164.4 Å³ per cell
* uncorrected formation energy: -560 meV/atom
* ρ: 4.6 g/cm3


# 27
VASP calculation (SCAN) on CsRb at its PBEsol-relaxed geometry.

a b c (Å): 5.9930 8.0219 7.9214
angles (deg): 90.00 90.00 90.00
Space group Cmmm (No. 65)
Symmetry-distinct sites (fractional):
Cs: 0.0000 0.0000 0.0000
Rb: 0.0000 0.5000 0.5000

Results
* formation enthalpy at 0 K: 3 meV/atom
* calculated volume: 380.8 Å³ per cell
* ρ: 1.9 g/cm3


# 28
VASP calculation (SCAN) on KCr2Cl at its PBEsol-relaxed geometry.

a b c (Å): 7.5377 7.5377 7.5377
angles (deg): 90.00 90.00 90.00
Space group Fm-3m (No. 225)
Symmetry-distinct sites (fractional):
K: 0.0000 0.0000 0.0000
Cr: 0.2500 0.2500 0.2500
Cl: 0.0000 0.0000 0.5000

Results
* calculated volume: 428.3 Å³ per cell
* uncorrected formation energy: 551 meV/atom
* ρ: 2.8 g/cm3
* energy relative to the lowest polymorph listed for this composition: 517.2 meV per atom


# 29
VASP calculation (SCAN) on Rb2YTiTl at its PBEsol-relaxed geometry.

a b c (Å): 6.4237 6.4237 5.9515
angles (deg): 90.00 90.00 90.00
Space group P4/mmm (No. 123)
Symmetry-distinct sites (fractional):
Rb: 0.0000 0.5000 0.0000
Y: 0.0000 0.0000 0.5000
Ti: 0.5000 0.5000 0.5000
Tl: 0.0000 0.0000 0.0000

Results
* formation enthalpy at 0 K: 939 meV/atom
* calculated volume: 245.6 Å³ per cell
* ρ: 3.5 g/cm3